Entry 1:
MnRh2Pb PBE optimized geometry; total magnetization = 3.8 μB/f.u.; space-group type = R-3m; ΔH_f (0 K) = 0.8 eV per formula unit
1.0
8.617 -0.125 -0.073
8.114 2.904 -0.073
8.114 1.348 2.573
Mn Pb Rh
1 1 2
Cartesian
6.211 1.032 0.607
18.633 3.095 1.820
24.607 4.087 2.403
12.659 2.103 1.236


Entry 2:
RbTiTe2N PBE optimized geometry; total magnetization = 3.3 μB/f.u.; space-group type = P4/mmm; ΔE_f (raw) = 40.33 kcal/mol of atoms; energy relative to the lowest polymorph listed for this composition = 2106 meV per atom
1.0
6.123 0.000 0.000
0.000 6.123 0.000
0.000 0.000 4.440
N Te Rb Ti
1 2 1 1
Cartesian
0.000 0.000 2.220
0.000 3.062 0.000
3.062 0.000 0.000
0.000 0.000 0.000
3.062 3.062 2.220


Entry 3:
Pm5SmTm3 PBE optimized geometry; total magnetization = 0.0 μB/f.u.; space-group type = Cmcm; ΔH_f (0 K) = 1.2 eV per formula unit; energy relative to the lowest polymorph listed for this composition = 0 meV per atom
1.0
9.332 0.000 0.000
-4.666 8.702 -0.894
0.000 0.746 7.246
Pm Sm Tm
10 2 6
Cartesian
2.792 0.560 5.434
1.645 5.830 -0.590
6.312 2.873 -0.287
3.021 3.619 6.942
1.646 6.202 3.016
6.539 0.187 1.811
-1.645 6.203 3.032
6.311 3.245 3.319
3.020 3.247 3.336
-1.646 6.575 6.639
6.231 0.560 5.434
3.101 0.187 1.811
0.000 0.000 0.000
4.667 5.812 1.234
0.000 0.373 3.623
-0.001 3.636 5.118
4.664 6.185 4.857
0.002 3.263 1.495


Entry 4:
Ba2NaLiGa PBE optimized geometry; total magnetization = 0.0 μB/f.u.; space-group type = P4/mmm; ΔH_f (0 K) = -0.2 eV per formula unit
1.0
6.535 0.000 0.000
0.000 6.535 0.000
0.000 0.000 5.226
Na Ba Ga Li
1 2 1 1
Cartesian
3.267 3.267 2.613
0.000 3.267 0.000
3.267 0.000 0.000
0.000 0.000 0.000
0.000 0.000 2.613


Entry 5:
YbGe6 PBE optimized geometry; total magnetization = 0.2 μB/f.u.; space-group type = Im-3m; ΔH_f (0 K) = 0.6 eV per formula unit
1.0
-6.055 -0.034 1.059
1.111 -2.247 -5.613
2.834 -3.482 4.199
Yb Ge
1 6
Cartesian
0.000 0.000 0.000
0.736 -3.435 -1.845
-1.486 -2.573 -2.630
1.167 -3.743 0.608
-2.846 -2.328 1.491
-0.624 -3.190 2.276
-3.277 -2.019 -0.962


Quick rundown of theoretical density, same order as above: 11.29 4.02 7.72 2.78 5.65 g/cm3